The following is a PBE-GGA calculation of a geometry-optimized AlCdFe2 structure, from Alexandria via LeMat-Bulk.

abc: 8.776 2.819 4.893
angles: 90.00 100.39 90.00
Fractional positions:
Al1 0.000 0.000 0.000
Al2 0.500 0.500 0.000
Cd1 0.000 0.500 0.500
Cd2 0.500 0.000 0.500
Fe1 0.244 0.500 0.207
Fe2 0.256 0.000 0.793
Fe3 0.744 0.000 0.207
Fe4 0.756 0.500 0.793

Computed properties:
D(E_F) = 0.84 states/eV per atom
total magnetization = 4.50 μB per formula unit
space group = C2/m
excess energy over the best structure of this formula in the dataset = 139 meV per atom

The following is a PBE-GGA calculation of a geometry-optimized CdP2Ir structure, from Alexandria via LeMat-Bulk.

abc: 5.676 5.676 10.918
angles: 90.00 90.00 90.00
Fractional positions:
Cd1 0.000 0.000 0.000
Cd2 0.000 0.500 0.250
Cd3 0.500 0.000 0.750
Cd4 0.500 0.500 0.500
P1 0.196 0.250 0.625
P2 0.250 0.696 0.875
P3 0.250 0.804 0.375
P4 0.304 0.250 0.125
P5 0.696 0.750 0.125
P6 0.750 0.196 0.375
P7 0.750 0.304 0.875
P8 0.804 0.750 0.625
Ir1 0.000 0.000 0.500
Ir2 0.000 0.500 0.750
Ir3 0.500 0.000 0.250
Ir4 0.500 0.500 0.000

Computed properties:
D(E_F) = 0.56 states/eV per atom
total magnetization = 0.00 μB per formula unit
VASP energy = -5.212 eV per atom
space group = I-42d

The following is a PBE-GGA calculation of a geometry-optimized NbFe3Rh6 structure, from Alexandria via LeMat-Bulk.

abc: 8.278 3.920 8.721
angles: 90.00 93.77 90.00
Fractional positions:
Nb1 0.064 0.250 0.385
Nb2 0.936 0.750 0.615
Fe1 0.254 0.250 0.012
Fe2 0.344 0.750 0.812
Fe3 0.445 0.250 0.607
Fe4 0.555 0.750 0.393
Fe5 0.656 0.250 0.188
Fe6 0.746 0.750 0.988
Rh1 0.056 0.750 0.905
Rh2 0.152 0.250 0.705
Rh3 0.157 0.750 0.205
Rh4 0.259 0.750 0.509
Rh5 0.372 0.250 0.309
Rh6 0.459 0.750 0.101
Rh7 0.541 0.250 0.899
Rh8 0.628 0.750 0.691
Rh9 0.741 0.250 0.491
Rh10 0.843 0.250 0.795
Rh11 0.848 0.750 0.295
Rh12 0.944 0.250 0.095

Computed properties:
D(E_F) = 1.21 states/eV per atom
total magnetization = 10.63 μB per formula unit
VASP energy = -8.117 eV per atom
space group = P2_1/m

The following is a PBE-GGA calculation of a geometry-optimized Y2ZrRh structure, from Alexandria via LeMat-Bulk.

abc: 3.481 3.481 28.333
angles: 90.00 90.00 120.00
Fractional positions:
Y1 0.000 0.000 0.236
Y2 0.000 0.000 0.764
Y3 0.333 0.667 0.431
Y4 0.333 0.667 0.903
Y5 0.667 0.333 0.097
Y6 0.667 0.333 0.569
Zr1 0.000 0.000 0.000
Zr2 0.333 0.667 0.667
Zr3 0.667 0.333 0.333
Rh1 0.000 0.000 0.500
Rh2 0.333 0.667 0.167
Rh3 0.667 0.333 0.833

Computed properties:
D(E_F) = 1.39 states/eV per atom
total magnetization = 0.00 μB per formula unit
space group = R-3m
excess energy over the best structure of this formula in the dataset = 230 meV per atom

The following is a PBE-GGA calculation of a geometry-optimized Zr11Hg9Pd4 structure, from Alexandria via LeMat-Bulk.

abc: 12.705 12.705 3.351
angles: 90.00 90.00 112.84
Fractional positions:
Zr1 0.000 0.000 0.000
Zr2 0.060 0.410 0.000
Zr3 0.160 0.840 0.000
Zr4 0.300 0.300 0.000
Zr5 0.367 0.633 0.000
Zr6 0.410 0.060 0.000
Zr7 0.590 0.940 0.000
Zr8 0.633 0.367 0.000
Zr9 0.700 0.700 0.000
Zr10 0.840 0.160 0.000
Zr11 0.940 0.590 0.000
Hg1 0.069 0.214 0.500
Hg2 0.155 0.632 0.500
Hg3 0.214 0.069 0.500
Hg4 0.368 0.845 0.500
Hg5 0.500 0.500 0.500
Hg6 0.632 0.155 0.500
Hg7 0.786 0.931 0.500
Hg8 0.845 0.368 0.500
Hg9 0.931 0.786 0.500
Pd1 0.248 0.449 0.500
Pd2 0.449 0.248 0.500
Pd3 0.551 0.752 0.500
Pd4 0.752 0.551 0.500

Computed properties:
D(E_F) = 0.95 states/eV per atom
total magnetization = 0.00 μB per formula unit
VASP energy = -5.219 eV per atom
space group = Cmmm

The following is a PBE-GGA calculation of a geometry-optimized Pr6Si2CCl3 structure, from Alexandria via LeMat-Bulk.

abc: 9.568 9.568 8.634
angles: 105.73 105.73 24.74
Fractional positions:
Pr1 0.003 0.003 0.205
Pr2 0.329 0.329 0.434
Pr3 0.356 0.356 0.920
Pr4 0.644 0.644 0.080
Pr5 0.671 0.671 0.566
Pr6 0.997 0.997 0.795
Si1 0.166 0.166 0.327
Si2 0.834 0.834 0.673
C1 0.500 0.500 0.000
Cl1 0.167 0.167 0.832
Cl2 0.500 0.500 0.500
Cl3 0.833 0.833 0.168

Computed properties:
D(E_F) = 0.43 states/eV per atom
energy relative to the elements, uncorrected = -1.0917 eV/atom
total magnetization = 0.00 μB per formula unit
space group = C2/m